The following is a PBE-GGA calculation of Tl2Pd7Pb2 after structural relaxation, from Alexandria via LeMat-Bulk.

Geometry as CIF:
```
data_Tl2Pd7Pb2
_chemical_formula_sum 'Tl4 Pd14 Pb4'
_cell_length_a 7.583
_cell_length_b 8.865
_cell_length_c 7.111
_cell_angle_alpha 90.00
_cell_angle_beta 90.00
_cell_angle_gamma 90.00
_space_group_name_H-M_alt 'C m m m'
_space_group_IT_number 65
_space_group_name_Hall '-C 2 2'
loop_
_atom_site_label
_atom_site_type_symbol
_atom_site_fract_x
_atom_site_fract_y
_atom_site_fract_z
Tl1 Tl 0.000 0.196 0.000
Pd1 Pd 0.000 0.000 0.296
Pd2 Pd 0.000 0.500 0.000
Pd3 Pd 0.250 0.250 0.277
Pb1 Pb 0.194 0.500 0.500
```

Formation energy from the elements, meV/atom: 44
Magnetic moment, μB per formula unit: 0.0

=====

The following is a PBE-GGA calculation of LiReNi2 after structural relaxation, from Alexandria via LeMat-Bulk.

Geometry as CIF:
```
data_LiReNi2
_chemical_formula_sum 'Li2 Re2 Ni4'
_cell_length_a 5.432
_cell_length_b 7.061
_cell_length_c 2.560
_cell_angle_alpha 90.00
_cell_angle_beta 90.00
_cell_angle_gamma 90.00
_space_group_name_H-M_alt 'C m m m'
_space_group_IT_number 65
_space_group_name_Hall '-C 2 2'
loop_
_atom_site_label
_atom_site_type_symbol
_atom_site_fract_x
_atom_site_fract_y
_atom_site_fract_z
Li1 Li 0.000 0.000 0.000
Re1 Re 0.000 0.500 0.000
Ni1 Ni 0.250 0.250 0.500
```

ΔE to the lowest computed polymorph, kJ/mol of atoms: 3.97
Formation energy from the elements, meV/atom: 47
Magnetic moment, μB per formula unit: 0.0

=====

The following is a PBE-GGA calculation of PaReGe after structural relaxation, from Alexandria via LeMat-Bulk.

Geometry as CIF:
```
data_PaReGe
_chemical_formula_sum 'Pa1 Re1 Ge1'
_cell_length_a 4.4587
_cell_length_b 4.4587
_cell_length_c 3.4317
_cell_angle_alpha 90.00
_cell_angle_beta 90.00
_cell_angle_gamma 120.00
_space_group_name_H-M_alt 'P -6 m 2'
_space_group_IT_number 187
_space_group_name_Hall 'P -6 2'
loop_
_atom_site_label
_atom_site_type_symbol
_atom_site_fract_x
_atom_site_fract_y
_atom_site_fract_z
Pa1 Pa 0.0000 0.0000 0.0000
Re1 Re 0.3333 0.6667 0.5000
Ge1 Ge 0.6667 0.3333 0.5000
```

ΔE to the lowest computed polymorph, kJ/mol of atoms: 11.23
Formation energy from the elements, meV/atom: -215
Magnetic moment, μB per formula unit: 0.0

=====

The following is a PBE-GGA calculation of CsCaNb after structural relaxation, from Alexandria via LeMat-Bulk.

Geometry as CIF:
```
data_CsCaNb
_chemical_formula_sum 'Cs2 Ca2 Nb2'
_cell_length_a 4.025
_cell_length_b 5.050
_cell_length_c 14.551
_cell_angle_alpha 80.16
_cell_angle_beta 89.69
_cell_angle_gamma 90.00
_space_group_name_H-M_alt 'P -1'
_space_group_IT_number 2
loop_
_space_group_symop_operation_xyz
'x,y,z'
'-x,-y,-z'
loop_
_atom_site_label
_atom_site_type_symbol
_atom_site_fract_x
_atom_site_fract_y
_atom_site_fract_z
Cs1 Cs 0.235 0.334 0.339
Ca1 Ca 0.252 0.051 0.896
Nb1 Nb 0.249 0.473 0.055
```

ΔE to the lowest computed polymorph, kJ/mol of atoms: 15.70
Formation energy from the elements, meV/atom: 562
Magnetic moment, μB per formula unit: 0.0

=====

The following is a PBE-GGA calculation of Li3NpO4 after structural relaxation, from Alexandria via LeMat-Bulk.

Geometry as CIF:
```
data_Li3NpO4
_chemical_formula_sum 'Li6 Np2 O8'
_cell_length_a 5.213
_cell_length_b 5.213
_cell_length_c 6.542
_cell_angle_alpha 90.00
_cell_angle_beta 90.00
_cell_angle_gamma 90.00
_space_group_name_H-M_alt 'I -4 2 m'
_space_group_IT_number 121
_space_group_name_Hall 'I -4 2'
loop_
_atom_site_label
_atom_site_type_symbol
_atom_site_fract_x
_atom_site_fract_y
_atom_site_fract_z
Li1 Li 0.000 0.000 0.000
Li2 Li 0.000 0.500 0.250
Np1 Np 0.000 0.000 0.500
O1 O 0.247 0.247 0.867
```

ΔE to the lowest computed polymorph, kJ/mol of atoms: 0.00
Energy relative to the elements, uncorrected, eV per atom: -2.244
Magnetic moment, μB per formula unit: 2.0

=====

The following is a PBE-GGA calculation of AcIn5Au after structural relaxation, from Alexandria via LeMat-Bulk.

Geometry as CIF:
```
data_AcIn5Au
_chemical_formula_sum 'Ac1 In5 Au1'
_cell_length_a 4.969
_cell_length_b 4.969
_cell_length_c 7.791
_cell_angle_alpha 90.00
_cell_angle_beta 90.00
_cell_angle_gamma 90.00
_space_group_name_H-M_alt 'P 4/m m m'
_space_group_IT_number 123
_space_group_name_Hall '-P 4 2'
loop_
_atom_site_label
_atom_site_type_symbol
_atom_site_fract_x
_atom_site_fract_y
_atom_site_fract_z
Ac1 Ac 0.000 0.000 0.000
In1 In 0.000 0.500 0.300
In2 In 0.500 0.500 0.000
Au1 Au 0.000 0.000 0.500
```

Formation energy from the elements, meV/atom: -310
Magnetic moment, μB per formula unit: 0.0

=====

no.,DOS at the Fermi energy (states/eV per atom)
1,0.262
2,1.031
3,1.734
4,0.905
5,0.928
6,0.483